[1]
{"formula": "Y2CoSb", "functional": "PBE-GGA", "state": "relaxed", "lattice_angstrom": [[0.049, 6.638, 4.404], [-3.541, -1.629, -3.014], [-2.600, 0.386, 2.840]], "species": ["Co", "Sb", "Y", "Y"], "fractional_positions": [[0.000, 0.500, 0.500], [0.500, 0.500, 0.000], [0.000, 0.000, 0.000], [0.500, 0.000, 0.500]], "dos_ef_per_ev_atom": 0.80, "e_tot_ev_per_cell": -25.750, "m_tot_mub_per_fu": 0.9, "space_group": "P4/mmm (123)"}


[2]
{"formula": "Y2CoSb", "functional": "PBE-GGA", "state": "relaxed", "lattice_angstrom": [[-1.551, 0.135, 7.608], [2.190, -7.428, 0.578], [3.351, -2.706, 4.694]], "species": ["Y", "Y", "Y", "Y", "Sb", "Sb", "Co", "Co"], "fractional_positions": [[0.569, 0.125, 0.250], [0.181, 0.625, 0.250], [0.375, 0.431, 0.750], [0.875, 0.819, 0.750], [0.000, 0.000, 0.000], [0.750, 0.250, 0.500], [0.500, 0.500, 0.000], [0.250, 0.750, 0.500]], "dos_ef_per_ev_atom": 1.19, "e_tot_ev_per_cell": -49.928, "m_tot_mub_per_fu": 0.0, "space_group": "I-42d (122)"}


[3]
{"formula": "YCoSb2", "functional": "PBE-GGA", "state": "relaxed", "lattice_angstrom": [[5.243, -0.003, 0.010], [0.257, 5.237, -0.010], [-1.846, -3.567, 3.371]], "species": ["Co", "Sb", "Sb", "Y"], "fractional_positions": [[0.250, 0.750, 0.500], [0.049, 0.049, 0.000], [0.451, 0.451, 0.000], [0.750, 0.250, 0.500]], "dos_ef_per_ev_atom": 0.56, "e_tot_ev_per_cell": -22.871, "m_tot_mub_per_fu": 0.0, "space_group": "Immm (71)"}


[4]
{"formula": "YCoSb2", "functional": "PBE-GGA", "state": "relaxed", "lattice_angstrom": [[-1.181, 2.256, -2.232], [-2.592, 0.686, 2.064], [4.035, 5.362, 3.285]], "species": ["Co", "Sb", "Sb", "Y"], "fractional_positions": [[0.500, 0.500, 0.750], [0.000, 0.000, 0.955], [0.000, 0.000, 0.545], [0.500, 0.500, 0.250]], "dos_ef_per_ev_atom": 0.86, "e_tot_ev_per_cell": -22.300, "m_tot_mub_per_fu": 1.1, "space_group": "P4/mmm (123)"}


[5]
{"formula": "YCo4Sb", "functional": "PBE-GGA", "state": "relaxed", "lattice_angstrom": [[-0.846, 3.100, 3.871], [1.956, 4.636, -0.015], [-3.002, 3.995, -0.586]], "species": ["Y", "Co", "Co", "Co", "Co", "Sb"], "fractional_positions": [[0.000, 0.000, 0.000], [0.875, 0.375, 0.375], [0.375, 0.375, 0.875], [0.375, 0.875, 0.375], [0.375, 0.375, 0.375], [0.750, 0.750, 0.750]], "dos_ef_per_ev_atom": 1.36, "e_tot_ev_per_cell": -39.660, "m_tot_mub_per_fu": 6.0, "space_group": "F-43m (216)"}


[6]
{"formula": "Y2CoSb", "functional": "PBE-GGA", "state": "relaxed", "lattice_angstrom": [[3.396, 0.024, 0.000], [-0.026, 3.396, 0.000], [0.000, 0.000, 8.229]], "species": ["Co", "Sb", "Y", "Y"], "fractional_positions": [[0.000, 0.000, 0.534], [0.500, 0.500, 0.692], [0.000, 0.000, 0.962], [0.500, 0.500, 0.312]], "dos_ef_per_ev_atom": 0.98, "e_tot_ev_per_cell": -24.825, "m_tot_mub_per_fu": 1.1, "space_group": "P4mm (99)"}


[7]
{"formula": "YCoSb2", "functional": "PBE-GGA", "state": "relaxed", "lattice_angstrom": [[-3.919, 2.447, -3.672], [-1.556, 0.006, -5.693], [-3.585, -2.908, -0.681]], "species": ["Co", "Sb", "Sb", "Y"], "fractional_positions": [[0.301, 0.301, 0.101], [0.963, 0.963, 0.054], [0.731, 0.731, 0.828], [0.505, 0.505, 0.518]], "dos_ef_per_ev_atom": 0.82, "e_tot_ev_per_cell": -22.848, "m_tot_mub_per_fu": 1.2, "space_group": "Cm (8)"}


[8]
{"formula": "Y2CoSb", "functional": "PBE-GGA", "state": "relaxed", "lattice_angstrom": [[-3.074, 1.261, -5.419], [2.287, -0.991, -5.848], [-1.426, -2.412, 5.706]], "species": ["Co", "Sb", "Y", "Y"], "fractional_positions": [[0.485, 0.485, 0.000], [0.308, 0.808, 0.500], [0.997, 0.997, 0.000], [0.710, 0.210, 0.500]], "dos_ef_per_ev_atom": 0.78, "e_tot_ev_per_cell": -25.830, "m_tot_mub_per_fu": 0.0, "space_group": "Imm2 (44)"}


[9]
{"formula": "Y5Co2Sb", "functional": "PBE-GGA", "state": "relaxed", "lattice_angstrom": [[6.915, 0.000, -3.264], [-1.541, 6.741, -3.264], [-0.174, -0.218, 8.588]], "species": ["Y", "Y", "Y", "Y", "Y", "Y", "Y", "Y", "Y", "Y", "Co", "Co", "Co", "Co", "Sb", "Sb"], "fractional_positions": [[0.524, 0.708, 0.732], [0.792, 0.976, 0.268], [0.000, 0.000, 0.000], [0.500, 0.500, 0.000], [0.208, 0.024, 0.732], [0.708, 0.208, 0.732], [0.024, 0.524, 0.732], [0.292, 0.792, 0.268], [0.976, 0.476, 0.268], [0.476, 0.292, 0.268], [0.134, 0.366, 0.000], [0.634, 0.134, 0.000], [0.366, 0.866, 0.000], [0.866, 0.634, 0.000], [0.750, 0.750, 0.500], [0.250, 0.250, 0.500]], "dos_ef_per_ev_atom": 1.07, "e_tot_ev_per_cell": -108.049, "m_tot_mub_per_fu": 0.0, "space_group": "I4/mcm (140)"}


[10]
{"formula": "Y4CoSb", "functional": "PBE-GGA", "state": "relaxed", "lattice_angstrom": [[-1.919, -4.751, 3.467], [-5.958, -1.664, -0.059], [-1.704, -5.304, -2.691]], "species": ["Y", "Y", "Y", "Y", "Co", "Sb"], "fractional_positions": [[0.375, 0.874, 0.375], [0.874, 0.375, 0.375], [0.375, 0.375, 0.874], [0.375, 0.375, 0.375], [0.750, 0.750, 0.750], [0.000, 0.000, 0.000]], "dos_ef_per_ev_atom": 1.65, "e_above_lowest_polymorph_ev_per_atom": 1.013, "m_tot_mub_per_fu": 1.8, "space_group": "F-43m (216)"}


[11]
{"formula": "YCo2Sb2", "functional": "PBE-GGA", "state": "relaxed", "lattice_angstrom": [[-0.249, -4.537, 0.504], [1.334, -0.555, -4.338], [4.945, -2.636, -0.551]], "species": ["Y", "Sb", "Sb", "Co", "Co"], "fractional_positions": [[0.000, 0.000, 0.000], [0.750, 0.250, 0.500], [0.250, 0.750, 0.500], [0.373, 0.373, 0.254], [0.627, 0.627, 0.746]], "dos_ef_per_ev_atom": 0.90, "e_above_lowest_polymorph_ev_per_atom": 0.000, "m_tot_mub_per_fu": 0.2, "space_group": "I4/mmm (139)"}


[12]
{"formula": "YCoSb2", "functional": "PBE-GGA", "state": "relaxed", "lattice_angstrom": [[7.727, 0.000, 0.000], [0.000, 7.727, 0.000], [3.863, 3.863, 3.062]], "species": ["Y", "Y", "Sb", "Sb", "Sb", "Sb", "Co", "Co"], "fractional_positions": [[0.000, 0.000, 0.000], [0.750, 0.250, 0.500], [0.557, 0.125, 0.250], [0.193, 0.625, 0.250], [0.375, 0.443, 0.750], [0.875, 0.807, 0.750], [0.500, 0.500, 0.000], [0.250, 0.750, 0.500]], "dos_ef_per_ev_atom": 1.15, "e_tot_ev_per_cell": -46.465, "m_tot_mub_per_fu": 0.0, "space_group": "I-42d (122)"}


[13]
{"formula": "Y5CoSb2", "functional": "PBE-GGA", "state": "relaxed", "lattice_angstrom": [[-1.785, 6.795, -3.681], [-4.665, 2.558, 6.985], [9.997, 5.210, 4.769]], "species": ["Y", "Y", "Y", "Y", "Y", "Y", "Y", "Y", "Y", "Y", "Y", "Y", "Y", "Y", "Y", "Y", "Y", "Y", "Y", "Y", "Co", "Co", "Co", "Co", "Sb", "Sb", "Sb", "Sb", "Sb", "Sb", "Sb", "Sb"], "fractional_positions": [[0.044, 0.250, 0.502], [0.956, 0.750, 0.498], [0.544, 0.750, 0.998], [0.456, 0.250, 0.002], [0.322, 0.965, 0.566], [0.678, 0.035, 0.434], [0.822, 0.035, 0.934], [0.678, 0.465, 0.434], [0.178, 0.965, 0.066], [0.322, 0.535, 0.566], [0.178, 0.535, 0.066], [0.822, 0.465, 0.934], [0.156, 0.250, 0.796], [0.844, 0.750, 0.204], [0.656, 0.750, 0.704], [0.344, 0.250, 0.296], [0.625, 0.250, 0.693], [0.375, 0.750, 0.307], [0.125, 0.750, 0.807], [0.875, 0.250, 0.193], [0.434, 0.250, 0.510], [0.566, 0.750, 0.490], [0.934, 0.750, 0.990], [0.066, 0.250, 0.010], [0.431, 0.508, 0.827], [0.569, 0.492, 0.173], [0.931, 0.492, 0.673], [0.569, 0.008, 0.173], [0.069, 0.508, 0.327], [0.431, 0.992, 0.827], [0.069, 0.992, 0.327], [0.931, 0.008, 0.673]], "dos_ef_per_ev_atom": 0.73, "e_tot_ev_per_cell": -213.814, "m_tot_mub_per_fu": 0.0, "space_group": "Pnma (62)"}


[14]
{"formula": "YCoSb2", "functional": "PBE-GGA", "state": "relaxed", "lattice_angstrom": [[3.855, 0.000, 0.000], [0.000, 3.855, 0.000], [0.000, 0.000, 6.163]], "species": ["Co", "Sb", "Sb", "Y"], "fractional_positions": [[0.500, 0.500, 0.820], [0.000, 0.000, 0.952], [0.500, 0.500, 0.256], [0.000, 0.000, 0.472]], "dos_ef_per_ev_atom": 1.27, "e_tot_ev_per_cell": -22.434, "m_tot_mub_per_fu": 1.0, "space_group": "P4mm (99)"}


[15]
{"formula": "Y2CoSb", "functional": "PBE-GGA", "state": "relaxed", "lattice_angstrom": [[-2.193, 1.370, 3.220], [-1.805, -3.700, 0.345], [4.464, -1.822, 3.816]], "species": ["Co", "Sb", "Y", "Y"], "fractional_positions": [[0.000, 0.000, 0.387], [0.500, 0.500, 0.820], [0.000, 0.000, 0.967], [0.500, 0.500, 0.326]], "dos_ef_per_ev_atom": 0.21, "e_tot_ev_per_cell": -25.306, "m_tot_mub_per_fu": 0.0, "space_group": "P4mm (99)"}


[16]
{"formula": "YCoSb4", "functional": "PBE-GGA", "state": "relaxed", "lattice_angstrom": [[-5.763, 0.557, 2.026], [-4.700, -0.884, -3.841], [-3.541, -4.975, 0.580]], "species": ["Y", "Co", "Sb", "Sb", "Sb", "Sb"], "fractional_positions": [[0.750, 0.750, 0.750], [0.000, 0.000, 0.000], [0.877, 0.374, 0.374], [0.374, 0.374, 0.877], [0.374, 0.877, 0.374], [0.374, 0.374, 0.374]], "dos_ef_per_ev_atom": 1.17, "e_tot_ev_per_cell": -27.522, "m_tot_mub_per_fu": 1.7, "space_group": "F-43m (216)"}


[17]
{"formula": "YCoSb2", "functional": "PBE-GGA", "state": "relaxed", "lattice_angstrom": [[3.910, 0.000, 0.000], [0.000, 4.097, 0.008], [0.000, 2.062, 5.922]], "species": ["Co", "Sb", "Sb", "Y"], "fractional_positions": [[0.500, 0.964, 0.698], [0.000, 0.824, 0.977], [0.500, 0.174, 0.278], [0.000, 0.539, 0.547]], "dos_ef_per_ev_atom": 0.87, "e_tot_ev_per_cell": -22.796, "m_tot_mub_per_fu": 0.0, "space_group": "Pm (6)"}


[18]
{"formula": "YCoSb2", "functional": "PBE-GGA", "state": "relaxed", "lattice_angstrom": [[-1.772, -2.539, -2.599], [2.416, -3.767, 2.033], [-2.784, -1.770, 3.628]], "species": ["Co", "Sb", "Sb", "Y"], "fractional_positions": [[0.500, 0.750, 0.750], [0.000, 0.941, 0.940], [0.000, 0.559, 0.560], [0.500, 0.250, 0.250]], "dos_ef_per_ev_atom": 0.21, "e_tot_ev_per_cell": -23.245, "m_tot_mub_per_fu": 0.0, "space_group": "P2/m (10)"}


[19]
{"formula": "Y2CoSb", "functional": "PBE-GGA", "state": "relaxed", "lattice_angstrom": [[-3.986, 4.887, 3.810], [-1.397, 2.981, 6.591], [0.074, 6.110, 4.117]], "species": ["Co", "Sb", "Y", "Y"], "fractional_positions": [[0.471, 0.471, 0.471], [0.785, 0.785, 0.785], [0.032, 0.032, 0.032], [0.212, 0.212, 0.212]], "dos_ef_per_ev_atom": 0.98, "e_tot_ev_per_cell": -25.552, "m_tot_mub_per_fu": 0.0, "space_group": "R3m (160)"}


[20]
{"formula": "YCo2Sb2", "functional": "PBE-GGA", "state": "relaxed", "lattice_angstrom": [[-2.557, -0.345, -6.915], [6.361, -3.029, -2.200], [-1.283, -3.153, 0.632]], "species": ["Y", "Y", "Sb", "Sb", "Sb", "Sb", "Co", "Co", "Co", "Co"], "fractional_positions": [[0.000, 0.000, 0.000], [0.500, 0.500, 0.000], [0.170, 0.670, 0.500], [0.670, 0.830, 0.500], [0.830, 0.330, 0.500], [0.330, 0.170, 0.500], [0.384, 0.884, 0.000], [0.884, 0.616, 0.000], [0.616, 0.116, 0.000], [0.116, 0.384, 0.000]], "dos_ef_per_ev_atom": 1.03, "e_above_lowest_polymorph_ev_per_atom": 0.110, "m_tot_mub_per_fu": 2.1, "space_group": "P4/mbm (127)"}